# Dy2Ga2Sn | Alexandria | PBE | optimized geometry
data_Dy2Ga2Sn
_chemical_formula_sum 'Dy4 Ga4 Sn2'
_cell_length_a 4.0854
_cell_length_b 13.9830
_cell_length_c 4.1024
_cell_angle_alpha 90.00
_cell_angle_beta 90.00
_cell_angle_gamma 90.00
_symmetry_space_group_name_H-M 'C m m m'
_symmetry_Int_Tables_number 65
_symmetry_space_group_name_Hall '-C 2 2'
loop_
_atom_site_label
_atom_site_fract_x
_atom_site_fract_y
_atom_site_fract_z
_atom_site_occupancy
Dy1 0.0000 0.1311 0.0000 1
Ga1 0.0000 0.2993 0.5000 1
Sn1 0.0000 0.5000 0.5000 1
# **VASP energy**: -4.474 eV/atom
# **Energy relative to the elements**: -0.622 eV per atom
# **Volume**: 234.35 Å³ per cell